Record 1
A relaxed BaSb2 crystal, computed with PBE.

Calculated values
Symmetry: P2_1/m
DFT total energy: -4.1109 eV/atom

abc: 4.468 5.250 9.476
angles: 78.54 90.00 90.00
Atoms (fractional coordinates):
Ba (0.250, 0.582, 0.287)
Ba (0.750, 0.418, 0.713)
Sb (0.250, 0.958, 0.605)
Sb (0.750, 0.042, 0.395)
Sb (0.250, 0.168, 0.023)
Sb (0.750, 0.832, 0.977)

***

Record 2
A relaxed LiY2Ni4Ge3 crystal, computed with PBE.

Calculated values
Calculated formation energy: -0.618 eV per atom
Symmetry: P-4m2

abc: 4.042 4.042 9.775
angles: 90.00 90.00 90.00
Atoms (fractional coordinates):
Li (0.500, 0.500, 0.500)
Y (0.500, 0.000, 0.248)
Y (0.000, 0.500, 0.752)
Ni (0.500, 0.500, 0.000)
Ni (0.000, 0.000, 0.000)
Ni (0.500, 0.000, 0.630)
Ni (0.000, 0.500, 0.370)
Ge (0.000, 0.000, 0.500)
Ge (0.500, 0.000, 0.868)
Ge (0.000, 0.500, 0.132)

***

Record 3
A relaxed LiCrPt2 crystal, computed with PBE.

Calculated values
Calculated formation energy: -0.392 eV per atom
Symmetry: I4/mmm

abc: 4.514 4.514 4.514
angles: 127.74 127.75 77.04
Last column: magnetic moment on the atom in μB.
Atoms (fractional coordinates):
Cr (0.250, 0.750, 0.500)  2.63
Pt (0.000, 0.000, 0.000)  -0.02
Pt (0.500, 0.500, 0.000)  -0.02
Li (0.750, 0.250, 0.500)  0.00

***

Record 4
A relaxed Tb3Tm4Zn crystal, computed with PBE.

Calculated values
Calculated formation energy: -0.072 eV per atom
Symmetry: P4/mmm

abc: 3.514 3.514 18.612
angles: 90.00 90.00 90.00
Atoms (fractional coordinates):
Zn (0.500, 0.500, 0.000)
Tm (0.000, 0.000, 0.906)
Tm (0.000, 0.000, 0.094)
Tm (0.000, 0.000, 0.365)
Tm (0.000, 0.000, 0.635)
Tb (0.500, 0.500, 0.231)
Tb (0.500, 0.500, 0.500)
Tb (0.500, 0.500, 0.769)